1.
# La2ScAg

A relaxed La2ScAg crystal (PBEsol, Alexandria via LeMat-Bulk).

Cell lengths 3.5950, 5.0254, 6.3532 Å; angles 90.00, 106.58, 90.00 degrees
Sites, in units of the cell vectors:
1 La 0.0000 0.0000 0.0000
2 La 0.3186 0.5000 0.6333
3 Sc 0.5937 0.5000 0.1878
4 Ag 0.7245 0.0000 0.4450

symmetry: Pm
formation enthalpy at 0 K: -0.82 kcal/mol of atoms
E_tot: -5.188 eV per atom

=====

2.
# La2ScAg

A relaxed La2ScAg crystal (PBEsol, Alexandria via LeMat-Bulk).

Cell lengths 5.2266, 5.2266, 5.2266 Å; angles 60.00, 60.00, 60.00 degrees
Sites, in units of the cell vectors:
1 La 0.0000 0.0000 0.0000
2 La 0.2500 0.2500 0.2500
3 Sc 0.7500 0.7500 0.7500
4 Ag 0.5000 0.5000 0.5000

symmetry: F-43m
formation enthalpy at 0 K: 1.28 kcal/mol of atoms
E_tot: -5.097 eV per atom

=====

3.
# La2ScAg

A relaxed La2ScAg crystal (PBEsol, Alexandria via LeMat-Bulk).

Cell lengths 6.3840, 6.3840, 6.3840 Å; angles 147.19, 129.51, 61.53 degrees
Sites, in units of the cell vectors:
1 La 0.0000 0.0000 0.0000
2 La 0.7253 0.2253 0.5000
3 Sc 0.2792 0.7792 0.5000
4 Ag 0.4783 0.4783 0.0000

symmetry: Imm2
formation enthalpy at 0 K: -2.02 kcal/mol of atoms
E_tot: -5.240 eV per atom

=====

Copy entry 2 word for word.
# La2ScAg

A relaxed La2ScAg crystal (PBEsol, Alexandria via LeMat-Bulk).

Cell lengths 5.2266, 5.2266, 5.2266 Å; angles 60.00, 60.00, 60.00 degrees
Sites, in units of the cell vectors:
1 La 0.0000 0.0000 0.0000
2 La 0.2500 0.2500 0.2500
3 Sc 0.7500 0.7500 0.7500
4 Ag 0.5000 0.5000 0.5000

symmetry: F-43m
formation enthalpy at 0 K: 1.28 kcal/mol of atoms
E_tot: -5.097 eV per atom

=====

Please write out number 2 again, unchanged.
# La2ScAg

A relaxed La2ScAg crystal (PBEsol, Alexandria via LeMat-Bulk).

Cell lengths 5.2266, 5.2266, 5.2266 Å; angles 60.00, 60.00, 60.00 degrees
Sites, in units of the cell vectors:
1 La 0.0000 0.0000 0.0000
2 La 0.2500 0.2500 0.2500
3 Sc 0.7500 0.7500 0.7500
4 Ag 0.5000 0.5000 0.5000

symmetry: F-43m
formation enthalpy at 0 K: 1.28 kcal/mol of atoms
E_tot: -5.097 eV per atom

=====

- Look up the E_tot of the first one.
  -5.188 eV per atom

=====

- formation enthalpy at 0 K of number 2 (La2ScAg)?
  1.28 kcal/mol of atoms